## K6Pb2O5 (SCAN)

Data for a PBEsol-optimized structure of K6Pb2O5. Values from VASP.

Structure (Quantum ESPRESSO input):
```
&SYSTEM
  ibrav = 0, nat = 26, ntyp = 3
/
ATOMIC_SPECIES
Pb 207.20 Pb.upf
K 39.10 K.upf
O 16.00 O.upf
CELL_PARAMETERS angstrom
-0.2774 -4.9994 3.9808
4.8238 -4.0026 -4.2554
10.7356 2.4035 5.7177
ATOMIC_POSITIONS angstrom
Pb 7.7635 -7.1911 1.9493
Pb 7.5185 0.5926 3.4938
Pb 2.2810 -4.2950 2.9052
Pb 13.0009 -2.3035 2.5379
K 6.7465 -3.7249 1.2191
K 8.5354 -2.8736 4.2240
K 5.8303 -5.3303 4.1131
K 9.4517 -1.2682 1.3300
K 5.8111 -5.0855 -2.0880
K 9.4708 -1.5130 7.5311
K 3.5706 -3.1959 -0.1585
K 11.7114 -3.4026 5.6016
K 4.5219 -6.3981 0.8361
K 10.7601 -0.2005 4.6069
K 4.5627 -1.6903 3.1911
K 10.7192 -4.9082 2.2519
O 7.0292 -6.4209 -0.0653
O 8.2528 -0.1777 5.5084
O 1.2993 -3.4847 1.1656
O 13.9827 -3.1138 4.2775
O 8.1789 -5.2753 2.8508
O 7.1030 -1.3233 2.5923
O 4.3079 -4.0464 2.2106
O 10.9740 -2.5521 3.2324
O 6.0964 -2.5731 -1.1622
O 9.1856 -4.0255 6.6053
```

Computed properties:
ΔE_f (raw)	-1.3842	eV per atom
total magnetic moment	0.000	μB/atom
DOS(E_F)	0.0000	states/eV/atom